First-principles (GGA-PBE) data for a relaxed structure of Nd3Ga3Os, as listed in Alexandria.

The space group is C2/m (No. 12) and the conventional cell measures 11.2805, 4.2281 and 14.8730 Å, with angles of 90.00, 107.87 and 90.00 degrees. The asymmetric unit holds Nd at (0.0245, 0.0000, 0.3849), Nd at (0.1130, 0.0000, 0.9202), Nd at (0.2400, 0.0000, 0.2385), Ga at (0.0313, 0.5000, 0.2304), Ga at (0.1026, 0.5000, 0.0735), Ga at (0.1627, 0.5000, 0.5376) and Os at (0.2309, 0.5000, 0.3813).

The value obtained for the formation energy is -3.2 eV/f.u. As for the magnetization: 0.00 μB per cell. Its total energy is -5.409 eV per atom.


First-principles (GGA-PBE) data for a relaxed structure of Nd2GaOs, as listed in Alexandria.

The space group is R-3m (No. 166, hexagonal axes) and the conventional cell measures 4.0211, 4.0211 and 29.0344 Å, with angles of 90.00, 90.00 and 120.00 degrees. The asymmetric unit holds Nd at (0.0000, 0.0000, 0.1119), Ga at (0.0000, 0.0000, 0.0000) and Os at (0.0000, 0.0000, 0.5000).

The value obtained for the formation energy is 1.3 eV/f.u. As for the magnetization: 0.00 μB per cell. Its total energy is -5.632 eV per atom.


First-principles (GGA-PBE) data for a relaxed structure of NdGa3Os, as listed in Alexandria.

The space group is Pm-3m (No. 221) and the conventional cell measures 4.7747, 4.7747 and 4.7747 Å, with angles of 90.00, 90.00 and 90.00 degrees. The asymmetric unit holds Nd at (0.0000, 0.0000, 0.0000), Ga at (0.0000, 0.5000, 0.5000) and Os at (0.5000, 0.5000, 0.5000).

The value obtained for the formation energy is -1.3 eV/f.u. As for the distance to the lowest polymorph of the same formula: 0.029 eV/atom. As for the magnetization: 0.00 μB per cell. Its total energy is -5.280 eV per atom.


First-principles (GGA-PBE) data for a relaxed structure of Nd3GaOs, as listed in Alexandria.

The space group is Fmmm (No. 69) and the conventional cell measures 6.6293, 9.7942 and 16.1383 Å, with angles of 90.00, 90.00 and 90.00 degrees. The asymmetric unit holds Nd at (0.0000, 0.0000, 0.1971), Nd at (0.0000, 0.1896, 0.3962), Ga at (0.1895, 0.0000, 0.0000) and Os at (0.2500, 0.2500, 0.2500).

The value obtained for the formation energy is -1.3 eV/f.u. As for the distance to the lowest polymorph of the same formula: 0.000 eV/atom. As for the magnetization: 0.00 μB per cell. Its total energy is -5.981 eV per atom.


First-principles (GGA-PBE) data for a relaxed structure of NdGa8Os2, as listed in Alexandria.

The space group is C2/m (No. 12) and the conventional cell measures 8.8162, 10.2631 and 4.8240 Å, with angles of 90.00, 102.98 and 90.00 degrees. The asymmetric unit holds Nd at (0.0000, 0.0000, 0.0000), Ga at (0.0000, 0.3007, 0.0000), Ga at (0.1247, 0.5000, 0.7467), Ga at (0.2257, 0.1284, 0.6009) and Os at (0.0000, 0.2818, 0.5000).

The value obtained for the formation energy is -2.4 eV/f.u. As for the magnetization: 0.00 μB per cell. Its total energy is -4.897 eV per atom.


First-principles (GGA-PBE) data for a relaxed structure of Nd2GaOs, as listed in Alexandria.

The space group is P4/mmm (No. 123) and the conventional cell measures 3.5882, 3.5882 and 7.3865 Å, with angles of 90.00, 90.00 and 90.00 degrees. The asymmetric unit holds Nd at (0.0000, 0.0000, 0.2323), Ga at (0.5000, 0.5000, 0.5000) and Os at (0.5000, 0.5000, 0.0000).

The value obtained for the formation energy is -0.8 eV/f.u. As for the magnetization: 0.00 μB per cell. Its total energy is -6.144 eV per atom.


Repeat the first record exactly.
First-principles (GGA-PBE) data for a relaxed structure of Nd3Ga3Os, as listed in Alexandria.

The space group is C2/m (No. 12) and the conventional cell measures 11.2805, 4.2281 and 14.8730 Å, with angles of 90.00, 107.87 and 90.00 degrees. The asymmetric unit holds Nd at (0.0245, 0.0000, 0.3849), Nd at (0.1130, 0.0000, 0.9202), Nd at (0.2400, 0.0000, 0.2385), Ga at (0.0313, 0.5000, 0.2304), Ga at (0.1026, 0.5000, 0.0735), Ga at (0.1627, 0.5000, 0.5376) and Os at (0.2309, 0.5000, 0.3813).

The value obtained for the formation energy is -3.2 eV/f.u. As for the magnetization: 0.00 μB per cell. Its total energy is -5.409 eV per atom.